# 1
Entry from Alexandria: a relaxed structure of TbCdPd2 (PBE).

Calculated values
Theoretical density, g/cm³: 10.3
Total magnetic moment, μB/cell: 0.00
Formation enthalpy at 0 K, kJ per mole of atoms: -68.6
Relative energy among the computed polymorphs, eV per atom: 0.0190

Lattice parameters (Å, degrees): 4.9659 6.2141 5.0532 90.00 90.00 90.00
Positions (direct):
Tb: 0.2500 0.2500 0.2095
Tb: 0.7500 0.7500 0.7905
Cd: 0.2500 0.7500 0.2261
Cd: 0.7500 0.2500 0.7739
Pd: 0.2500 0.0010 0.7078
Pd: 0.2500 0.4990 0.7078
Pd: 0.7500 0.5010 0.2922
Pd: 0.7500 0.9990 0.2922

---

# 2
Entry from Alexandria: a relaxed structure of MnFeCuMoAu (PBE).

Calculated values
Theoretical density, g/cm³: 10.8
Total magnetic moment, μB/cell: 4.75
Formation enthalpy at 0 K, kJ per mole of atoms: 25.9
Relative energy among the computed polymorphs, eV per atom: 0.1470

Lattice parameters (Å, degrees): 10.9446 10.9446 10.9446 14.54 14.54 14.54
Positions (direct):
Mn: 0.0000 0.0000 0.0000
Fe: 0.2727 0.2727 0.2727
Cu: 0.7297 0.7297 0.7297
Mo: 0.8780 0.8780 0.8780
Au: 0.4666 0.4666 0.4666

---

# 3
Entry from Alexandria: a relaxed structure of Ti2BN2 (PBE).

Calculated values
Theoretical density, g/cm³: 4.8
Total magnetic moment, μB/cell: 0.01
Relative energy among the computed polymorphs, eV per atom: 0.6022
E_form (uncorrected), eV/atom: -0.29

Lattice parameters (Å, degrees): 5.7579 5.7579 2.7953 90.00 90.00 90.00
Positions (direct):
Ti: 0.1584 0.3416 0.0000
Ti: 0.3416 0.8416 0.0000
Ti: 0.6584 0.1584 0.0000
Ti: 0.8416 0.6584 0.0000
B: 0.0000 0.0000 0.5000
B: 0.5000 0.5000 0.5000
N: 0.1494 0.6494 0.5000
N: 0.3506 0.1494 0.5000
N: 0.6494 0.8506 0.5000
N: 0.8506 0.3506 0.5000

---

# 4
Entry from Alexandria: a relaxed structure of CuSeS (PBE).

Calculated values
Theoretical density, g/cm³: 4.8
Total magnetic moment, μB/cell: 0.00
Relative energy among the computed polymorphs, eV per atom: 0.0472
E_form (uncorrected), eV/atom: -0.02

Lattice parameters (Å, degrees): 4.0646 4.9464 6.9304 69.79 87.11 68.73
Positions (direct):
Cu: 0.1470 0.2512 0.2977
Cu: 0.8530 0.7488 0.7023
Se: 0.1218 0.1934 0.9659
Se: 0.8782 0.8066 0.0341
S: 0.4036 0.6993 0.5418
S: 0.5964 0.3007 0.4582